An optimized crystal structure of LiErGa, computed with PBE-GGA.

Structure (POSCAR):
```
LiErGa
1.0
0.0000 3.3012 3.3012
3.3012 0.0000 3.3012
3.3012 3.3012 0.0000
Li Er Ga
1 1 1
direct
0.0000 0.0000 0.0000
0.5000 0.5000 0.5000
0.7500 0.7500 0.7500
```

Properties
**E above lowest polymorph**: 0 meV per atom
**Theoretical density**: 5.6 g/cm³